First-principles (PBE) data for crystalline Y2PaTe6 at its relaxed geometry, as listed in Alexandria via LeMat-Bulk.

The calculation puts the total energy at -5.55 eV/atom. As for the total magnetic moment: 0.00 μB per formula unit. Its formation energy from raw total energies is -0.963 eV/atom. The value obtained for the density of states at the Fermi level is 0.506 states/eV per atom.

It has space group P4_2/mnm (No. 136), with a = 7.268 Å, b = 7.268 Å, c = 13.251 Å, α = 90.00°, β = 90.00° and γ = 90.00°. Symmetry generates all atoms from Y at (0.000, 0.000, 0.167), Pa at (0.000, 0.000, 0.500), Te at (0.201, 0.201, 0.338) and Te at (0.208, 0.208, 0.000).

---

First-principles (PBE) data for crystalline YPa2Te4 at its relaxed geometry, as listed in Alexandria via LeMat-Bulk.

The calculation puts the total energy at -6.29 eV/atom. As for the total magnetic moment: 3.00 μB per formula unit. Its formation energy from raw total energies is -0.863 eV/atom. The value obtained for the density of states at the Fermi level is 1.647 states/eV per atom.

It has space group Cmcm (No. 63), with a = 4.126 Å, b = 13.729 Å, c = 15.673 Å, α = 90.00°, β = 90.00° and γ = 90.00°. Symmetry generates all atoms from Y at (0.000, 0.101, 0.250), Pa at (0.000, 0.349, 0.060), Te at (0.000, 0.000, 0.000), Te at (0.000, 0.296, 0.633) and Te at (0.000, 0.433, 0.250).

---

First-principles (PBE) data for crystalline Pa6ZnTe12 at its relaxed geometry, as listed in Alexandria via LeMat-Bulk.

The calculation puts the total energy at -5.71 eV/atom. As for the total magnetic moment: 7.99 μB per formula unit. Its formation energy from raw total energies is -0.664 eV/atom. The value obtained for the density of states at the Fermi level is 1.859 states/eV per atom.

It has space group R-3 (No. 148, hexagonal axes), with a = 13.5791 Å, b = 13.5791 Å, c = 11.9933 Å, α = 90.00°, β = 90.00° and γ = 120.00°. Symmetry generates all atoms from Pa at (0.0518, 0.7727, 0.1439), Zn at (0.0000, 0.0000, 0.5000), Te at (0.0340, 0.8256, 0.8849) and Te at (0.0551, 0.8518, 0.3865).

---

First-principles (PBE) data for crystalline Pa2ZnTe at its relaxed geometry, as listed in Alexandria via LeMat-Bulk.

The calculation puts the total energy at -5.93 eV/atom. As for the total magnetic moment: 0.00 μB per formula unit. Its formation energy from raw total energies is -0.082 eV/atom. The value obtained for the density of states at the Fermi level is 1.838 states/eV per atom.

It has space group R-3m (No. 166, hexagonal axes), with a = 4.2879 Å, b = 4.2879 Å, c = 20.2833 Å, α = 90.00°, β = 90.00° and γ = 120.00°. Symmetry generates all atoms from Pa at (0.0000, 0.0000, 0.2398), Zn at (0.0000, 0.0000, 0.5000) and Te at (0.0000, 0.0000, 0.0000).

---

First-principles (PBE) data for crystalline Pa2ZnTe at its relaxed geometry, as listed in Alexandria via LeMat-Bulk.

The calculation puts the total energy at -5.96 eV/atom. As for the total magnetic moment: 1.87 μB per formula unit. Its formation energy from raw total energies is -0.108 eV/atom. The value obtained for the density of states at the Fermi level is 2.365 states/eV per atom.

It has space group P4/mmm (No. 123), with a = 4.754 Å, b = 4.754 Å, c = 4.226 Å, α = 90.00°, β = 90.00° and γ = 90.00°. Symmetry generates all atoms from Pa at (0.000, 0.500, 0.000), Zn at (0.000, 0.000, 0.500) and Te at (0.500, 0.500, 0.500).

---

First-principles (PBE) data for crystalline Zr2PaTe4 at its relaxed geometry, as listed in Alexandria via LeMat-Bulk.

The calculation puts the total energy at -6.40 eV/atom. As for the total magnetic moment: 0.16 μB per formula unit. Its formation energy from raw total energies is -0.806 eV/atom. The value obtained for the density of states at the Fermi level is 1.065 states/eV per atom.

It has space group Cc (No. 9), with a = 7.488 Å, b = 14.293 Å, c = 8.064 Å, α = 90.00°, β = 117.64° and γ = 90.00°. Symmetry generates all atoms from Zr at (0.000, 0.120, 0.000), Zr at (0.491, 0.130, 0.980), Pa at (0.121, 0.375, 0.991), Te at (0.092, 0.207, 0.725), Te at (0.184, 0.242, 0.326), Te at (0.348, 0.008, 0.654) and Te at (0.357, 0.457, 0.756).

---

First-principles (PBE) data for crystalline ZrPa2Te at its relaxed geometry, as listed in Alexandria via LeMat-Bulk.

The calculation puts the total energy at -7.97 eV/atom. As for the total magnetic moment: 0.00 μB per formula unit. Its formation energy from raw total energies is -0.296 eV/atom. The value obtained for the density of states at the Fermi level is 1.497 states/eV per atom.

It has space group P2_1/m (No. 11), with a = 4.180 Å, b = 4.252 Å, c = 11.109 Å, α = 90.00°, β = 100.86° and γ = 90.00°. Symmetry generates all atoms from Zr at (0.193, 0.250, 0.385), Pa at (0.057, 0.750, 0.114), Pa at (0.435, 0.750, 0.871) and Te at (0.326, 0.250, 0.651).

---

First-principles (PBE) data for crystalline ZrPaTe3 at its relaxed geometry, as listed in Alexandria via LeMat-Bulk.

The calculation puts the total energy at -6.26 eV/atom. As for the total magnetic moment: 0.94 μB per formula unit. Its formation energy from raw total energies is -0.769 eV/atom. The value obtained for the density of states at the Fermi level is 1.174 states/eV per atom.

It has space group Cmc2_1 (No. 36), with a = 4.224 Å, b = 21.624 Å, c = 7.301 Å, α = 90.00°, β = 90.00° and γ = 90.00°. Symmetry generates all atoms from Zr at (0.000, 0.170, 0.000), Pa at (0.000, 0.337, 0.002), Te at (0.000, 0.083, 0.316), Te at (0.000, 0.250, 0.668) and Te at (0.000, 0.411, 0.352).

---

First-principles (PBE) data for crystalline ZrPaTe3 at its relaxed geometry, as listed in Alexandria via LeMat-Bulk.

The calculation puts the total energy at -6.30 eV/atom. As for the total magnetic moment: 0.22 μB per formula unit. Its formation energy from raw total energies is -0.811 eV/atom. The value obtained for the density of states at the Fermi level is 0.963 states/eV per atom.

It has space group C2/m (No. 12), with a = 7.132 Å, b = 12.867 Å, c = 7.119 Å, α = 90.00°, β = 111.44° and γ = 90.00°. Symmetry generates all atoms from Zr at (0.000, 0.177, 0.000), Pa at (0.000, 0.332, 0.500), Te at (0.241, 0.000, 0.237) and Te at (0.249, 0.151, 0.759).

---

First-principles (PBE) data for crystalline ThPa4 at its relaxed geometry, as listed in Alexandria via LeMat-Bulk.

The calculation puts the total energy at -7.54 eV/atom. As for the formation energy: 1.54 eV/atom. As for the total magnetic moment: 0.70 μB per formula unit. The value obtained for the density of states at the Fermi level is 3.930 states/eV per atom.

It has space group Pm-3m (No. 221), with a = 5.473 Å, b = 5.473 Å, c = 5.473 Å, α = 90.00°, β = 90.00° and γ = 90.00°. Symmetry generates all atoms from Th at (0.000, 0.000, 0.000), Pa at (0.000, 0.000, 0.500) and Pa at (0.500, 0.500, 0.500).

---

First-principles (PBE) data for crystalline Th4Pa at its relaxed geometry, as listed in Alexandria via LeMat-Bulk.

The calculation puts the total energy at -6.96 eV/atom. As for the formation energy: 0.88 eV/atom. As for the total magnetic moment: 0.00 μB per formula unit. The value obtained for the density of states at the Fermi level is 1.547 states/eV per atom.

It has space group Pm-3m (No. 221), with a = 5.711 Å, b = 5.711 Å, c = 5.711 Å, α = 90.00°, β = 90.00° and γ = 90.00°. Symmetry generates all atoms from Th at (0.000, 0.000, 0.000), Th at (0.000, 0.500, 0.500) and Pa at (0.500, 0.500, 0.500).

---

First-principles (PBE) data for crystalline ThPa7 at its relaxed geometry, as listed in Alexandria via LeMat-Bulk.

The calculation puts the total energy at -9.19 eV/atom. As for the formation energy: 0.05 eV/atom. As for the total magnetic moment: 0.00 μB per formula unit. The value obtained for the density of states at the Fermi level is 2.090 states/eV per atom.

It has space group Fm-3m (No. 225), with a = 9.388 Å, b = 9.388 Å, c = 9.388 Å, α = 90.00°, β = 90.00° and γ = 90.00°. Symmetry generates all atoms from Th at (0.000, 0.000, 0.000), Pa at (0.000, 0.000, 0.500) and Pa at (0.000, 0.250, 0.250).